First-principles (PBE) data for YMoN3 after structural relaxation, as listed in Alexandria via LeMat-Bulk.

Output
- Calculated density: 5.74 g/cm3
- SG: Cm, No. 8
- E: -9.102 eV/atom
- Crystal system: monoclinic
- Total magnetic moment: 0.00 μB per cell

abc: 5.2034 5.2034 8.6413
angles: 109.14 109.14 36.71
Element x y z (fractional)
1 Y 0.0000 0.0000 0.0000
2 Y 0.1407 0.1407 0.7243
3 Mo 0.6115 0.6115 0.3673
4 Mo 0.8297 0.8297 0.2540
5 N 0.1964 0.1964 0.2626
6 N 0.4139 0.4139 0.1469
7 N 0.6116 0.6116 0.8925
8 N 0.7542 0.7542 0.5779
9 N 0.8393 0.8393 0.7214
10 N 0.9881 0.9881 0.4434

=====

First-principles (PBE) data for Y2TlTc after structural relaxation, as listed in Alexandria via LeMat-Bulk.

Output
- Calculated density: 8.56 g/cm3
- SG: I-4m2, No. 119
- Calculated formation energy: 103.7 meV per atom
- E: -6.311 eV/atom
- Crystal system: tetragonal
- Total magnetic moment: 0.74 μB per cell

abc: 5.6548 5.6548 5.6548
angles: 133.63 133.63 67.67
Element x y z (fractional)
1 Y 0.0000 0.0000 0.0000
2 Y 0.7500 0.2500 0.5000
3 Tl 0.5000 0.5000 0.0000
4 Tc 0.2500 0.7500 0.5000

=====

First-principles (PBE) data for HoErSc6 after structural relaxation, as listed in Alexandria via LeMat-Bulk.

Output
- Calculated density: 4.78 g/cm3
- SG: P-6m2, No. 187
- Calculated formation energy: 10.1 meV per atom
- E: -5.881 eV/atom
- Crystal system: hexagonal
- Total magnetic moment: 2.12 μB per cell

abc: 6.7604 6.7604 5.2833
angles: 90.00 90.00 120.00
Element x y z (fractional)
1 Ho 0.0000 0.0000 0.0000
2 Er 0.6667 0.3333 0.5000
3 Sc 0.0065 0.5032 0.0000
4 Sc 0.1697 0.3393 0.5000
5 Sc 0.1697 0.8303 0.5000
6 Sc 0.4968 0.5032 0.0000
7 Sc 0.4968 0.9935 0.0000
8 Sc 0.6607 0.8303 0.5000

=====

First-principles (PBE) data for Tl15Bi4Pb after structural relaxation, as listed in Alexandria via LeMat-Bulk.

Output
- Calculated density: 10.87 g/cm3
- SG: P4/mmm, No. 123
- Calculated formation energy: -19.1 meV per atom
- E: -2.755 eV/atom
- Crystal system: tetragonal
- Total magnetic moment: 0.00 μB per cell

abc: 4.9941 4.9941 25.1760
angles: 90.00 90.00 90.00
Element x y z (fractional)
1 Tl 0.0000 0.0000 0.0000
2 Tl 0.0000 0.0000 0.2007
3 Tl 0.0000 0.0000 0.4002
4 Tl 0.0000 0.0000 0.5998
5 Tl 0.0000 0.0000 0.7993
6 Tl 0.0000 0.5000 0.1002
7 Tl 0.0000 0.5000 0.2999
8 Tl 0.0000 0.5000 0.5000
9 Tl 0.0000 0.5000 0.7001
10 Tl 0.0000 0.5000 0.8998
11 Tl 0.5000 0.0000 0.1002
12 Tl 0.5000 0.0000 0.2999
13 Tl 0.5000 0.0000 0.5000
14 Tl 0.5000 0.0000 0.7001
15 Tl 0.5000 0.0000 0.8998
16 Bi 0.5000 0.5000 0.1976
17 Bi 0.5000 0.5000 0.3997
18 Bi 0.5000 0.5000 0.6003
19 Bi 0.5000 0.5000 0.8024
20 Pb 0.5000 0.5000 0.0000

=====

First-principles (PBE) data for NbBiPt2Rh after structural relaxation, as listed in Alexandria via LeMat-Bulk.

Output
- Calculated density: 10.54 g/cm3
- SG: P4/mmm, No. 123
- Calculated formation energy: 1178.1 meV per atom
- E: -5.499 eV/atom
- Crystal system: tetragonal
- Total magnetic moment: 0.01 μB per cell

abc: 4.8215 4.8215 5.3860
angles: 90.00 90.00 90.00
Element x y z (fractional)
1 Nb 0.0000 0.0000 0.0000
2 Bi 0.0000 0.0000 0.5000
3 Pt 0.0000 0.5000 0.0000
4 Pt 0.5000 0.0000 0.0000
5 Rh 0.5000 0.5000 0.5000

=====

First-principles (PBE) data for Ho6USe12 after structural relaxation, as listed in Alexandria via LeMat-Bulk.

Output
- Calculated density: 6.86 g/cm3
- SG: R-3, No. 148
- E: -5.864 eV/atom
- Crystal system: trigonal
- Total magnetic moment: 0.00 μB per cell

abc: 8.1893 8.1893 8.1893
angles: 98.96 98.96 98.96
Element x y z (fractional)
1 Ho 0.1363 0.6448 0.8286
2 Ho 0.1714 0.8637 0.3552
3 Ho 0.3552 0.1714 0.8637
4 Ho 0.6448 0.8286 0.1363
5 Ho 0.8286 0.1363 0.6448
6 Ho 0.8637 0.3552 0.1714
7 U 0.5000 0.5000 0.5000
8 Se 0.0773 0.9181 0.6761
9 Se 0.0819 0.3239 0.9227
10 Se 0.1751 0.5268 0.4183
11 Se 0.3239 0.9227 0.0819
12 Se 0.4183 0.1751 0.5268
13 Se 0.4732 0.5817 0.8249
14 Se 0.5268 0.4183 0.1751
15 Se 0.5817 0.8249 0.4732
16 Se 0.6761 0.0773 0.9181
17 Se 0.8249 0.4732 0.5817
18 Se 0.9181 0.6761 0.0773
19 Se 0.9227 0.0819 0.3239

=====

First-principles (PBE) data for Sr2LiOsO6 after structural relaxation, as listed in Alexandria via LeMat-Bulk.

Output
- Calculated density: 6.25 g/cm3
- SG: Fm-3m, No. 225
- E: -6.651 eV/atom
- Crystal system: cubic
- Total magnetic moment: 0.57 μB per cell

abc: 5.6055 5.6055 5.6055
angles: 60.00 60.00 60.00
Element x y z (fractional)
1 Sr 0.2500 0.2500 0.2500
2 Sr 0.7500 0.7500 0.7500
3 Li 0.0000 0.0000 0.0000
4 Os 0.5000 0.5000 0.5000
5 O 0.2601 0.2601 0.7399
6 O 0.2601 0.7399 0.2601
7 O 0.2601 0.7399 0.7399
8 O 0.7399 0.2601 0.2601
9 O 0.7399 0.2601 0.7399
10 O 0.7399 0.7399 0.2601

=====

First-principles (PBE) data for Zn2Ge2Cl7 after structural relaxation, as listed in Alexandria via LeMat-Bulk.

Output
- Calculated density: 2.58 g/cm3
- SG: C2/c, No. 15
- E: -3.064 eV/atom
- Crystal system: monoclinic
- Total magnetic moment: 1.99 μB per cell

abc: 7.1683 7.1683 13.8019
angles: 101.34 101.34 95.19
Element x y z (fractional)
1 Zn 0.0685 0.3067 0.2078
2 Zn 0.3067 0.0685 0.7078
3 Zn 0.6933 0.9315 0.2922
4 Zn 0.9315 0.6933 0.7922
5 Ge 0.0374 0.6774 0.4762
6 Ge 0.3226 0.9626 0.0238
7 Ge 0.6774 0.0374 0.9762
8 Ge 0.9626 0.3226 0.5238
9 Cl 0.0161 0.9839 0.7500
10 Cl 0.1653 0.6084 0.9001
11 Cl 0.2101 0.5462 0.3544
12 Cl 0.2711 0.3484 0.6500
13 Cl 0.3484 0.2711 0.1500
14 Cl 0.3916 0.8347 0.5999
15 Cl 0.4538 0.7899 0.1456
16 Cl 0.5462 0.2101 0.8544
17 Cl 0.6084 0.1653 0.4001
18 Cl 0.6516 0.7289 0.8500
19 Cl 0.7289 0.6516 0.3500
20 Cl 0.7899 0.4538 0.6456
21 Cl 0.8347 0.3916 0.0999
22 Cl 0.9839 0.0161 0.2500

=====

> Number 6 is which compound?

Ho6USe12

=====

> Which value of calculated density does entry 3 give?

4.78 g/cm3